Entry 1:
This record from the Alexandria database describes an optimized crystal structure of Li3Pm2Tl2. The functional is PBE-GGA.

Cell: 5.932 5.932 6.778 Å, 105.69 105.69 49.21°
Sites, in units of the cell vectors:
Li 0.000 0.000 0.000
Li 0.106 0.106 0.426
Li 0.894 0.894 0.574
Pm 0.351 0.351 0.230
Pm 0.649 0.649 0.770
Tl 0.348 0.348 0.752
Tl 0.652 0.652 0.248

DFT total energy (eV/f.u.): -21.63
Total magnetization (μB/f.u.): 0.00

Entry 2:
This record from the Alexandria database describes an optimized crystal structure of Pm2TlHg6. The functional is PBE-GGA.

Cell: 6.134 6.134 6.176 Å, 91.79 91.79 92.42°
Sites, in units of the cell vectors:
Pm 0.176 0.176 0.179
Pm 0.824 0.824 0.821
Tl 0.500 0.500 0.500
Hg 0.001 0.669 0.332
Hg 0.331 0.669 0.000
Hg 0.331 0.999 0.668
Hg 0.669 0.001 0.332
Hg 0.669 0.331 0.000
Hg 0.999 0.331 0.668

Energy above the most stable polymorph in this dataset (meV per atom): 0
Total magnetization (μB/f.u.): 0.00

Entry 3:
This record from the Alexandria database describes an optimized crystal structure of Cr2WCl. The functional is PBE-GGA.

Cell: 4.485 4.485 2.952 Å, 90.00 90.00 101.37°
Sites, in units of the cell vectors:
Cr 0.000 0.500 0.000
Cr 0.500 0.000 0.000
W 0.000 0.000 0.500
Cl 0.500 0.500 0.500

Energy above the most stable polymorph in this dataset (meV per atom): 598
ΔE_f (raw) (eV per formula unit): 3.32
Total magnetization (μB/f.u.): 3.29

Entry 4:
This record from the Alexandria database describes an optimized crystal structure of La4ThZn. The functional is PBE-GGA.

Cell: 3.707 3.707 14.306 Å, 90.00 90.00 90.00°
Sites, in units of the cell vectors:
La 0.000 0.000 0.131
La 0.000 0.000 0.869
La 0.500 0.500 0.330
La 0.500 0.500 0.670
Th 0.000 0.000 0.500
Zn 0.500 0.500 0.000

DFT total energy (eV/f.u.): -28.93
Total magnetization (μB/f.u.): 0.00

Entry 5:
This record from the Alexandria database describes an optimized crystal structure of Ce2ThO6. The functional is PBE-GGA.

Cell: 3.907 3.907 9.533 Å, 90.00 90.00 120.00°
Sites, in units of the cell vectors:
Ce 0.333 0.667 0.163
Ce 0.667 0.333 0.837
Th 0.000 0.000 0.500
O 0.000 0.000 0.245
O 0.000 0.000 0.755
O 0.333 0.667 0.413
O 0.333 0.667 0.918
O 0.667 0.333 0.082
O 0.667 0.333 0.587

ΔE_f (raw) (eV per formula unit): -32.42
Total magnetization (μB/f.u.): 0.00

Entry 6:
This record from the Alexandria database describes an optimized crystal structure of Be3NbB. The functional is PBE-GGA.

Cell: 4.446 4.446 4.446 Å, 90.00 90.00 90.00°
Sites, in units of the cell vectors:
Be 0.000 0.000 0.500
Be 0.000 0.500 0.000
Be 0.500 0.000 0.000
Nb 0.000 0.000 0.000
B 0.500 0.500 0.500

Energy above the most stable polymorph in this dataset (meV per atom): 2838
Total magnetization (μB/f.u.): 0.00